VASP calculation (PBE-GGA) on Li5Ga8Rh after structural relaxation.

POSCAR file:
```
Li5Ga8Rh
1.0
6.7252 -0.1317 0.2263
-2.3994 6.2840 -0.2263
-1.9263 -3.2425 5.5743
Li Ga Rh
5 8 1
Cartesian
3.4298 4.1492 1.6795 Li
5.1435 2.0801 0.7181 Li
2.6165 0.7934 0.4002 Li
2.3994 -1.6871 2.9003 Li
2.2607 1.9078 3.0028 Li
-1.8890 2.8451 3.1955 Ga
1.0275 2.9590 0.8934 Ga
-1.6394 -1.8820 4.2540 Ga
1.3901 -0.0619 4.7029 Ga
-3.1426 1.5328 5.3658 Ga
4.2702 0.0775 2.3568 Ga
0.5794 2.6273 5.0414 Ga
0.3499 0.4307 1.8353 Ga
-0.9632 0.6772 4.1241 Rh
```

Values from the calculation:
ΔE_f	-236	meV/atom
calculated density	4.9	Mg/m³

VASP calculation (PBE-GGA) on CdAsW2 after structural relaxation.

POSCAR file:
```
CdAsW2
1.0
-5.0946 -1.4088 -0.2973
3.5675 -3.9115 -0.0244
-0.1259 -0.1322 2.7836
As W Cd
1 2 1
Cartesian
-2.6102 -0.7705 1.2431 As
0.0000 0.0000 0.0000 W
-0.7635 -2.6602 -0.1609 W
1.7208 -2.0219 1.3796 Cd
```

Values from the calculation:
ΔE_f	887	meV/atom
calculated density	13.2	Mg/m³
relative energy among the computed polymorphs	550.7	meV per atom

Computed V (Å³ per atom) in order:
16.7, 17.4